(1)
The following is a DFT calculation (PBE) of MnAlPb2S5 after structural relaxation.

Geometry as CIF:
```
data_MnAlPb2S5
_cell_length_a 3.688
_cell_length_b 18.161
_cell_length_c 12.292
_cell_angle_alpha 90.00
_cell_angle_beta 90.00
_cell_angle_gamma 90.00
_symmetry_space_group_name_H-M 'C m c 21'
_symmetry_Int_Tables_number 36
loop_
_symmetry_equiv_pos_as_xyz
'x,y,z'
'-x,-y,z+1/2'
'-x,y,z'
'x,-y,z+1/2'
'x+1/2,y+1/2,z'
'-x+1/2,-y+1/2,z+1/2'
'-x+1/2,y+1/2,z'
'x+1/2,-y+1/2,z+1/2'
loop_
_atom_site_label
_atom_site_fract_x
_atom_site_fract_y
_atom_site_fract_z
Mn1 0.000 0.216 0.000
Al1 0.000 0.437 0.423
Pb1 0.000 0.113 0.272
Pb2 0.000 0.115 0.623
S1 0.000 0.041 0.027
S2 0.000 0.281 0.627
S3 0.000 0.315 0.378
S4 0.000 0.350 0.961
S5 0.000 0.494 0.262
```

Summary:
ρ = 5.30 Mg/m³
Volume = 823 Å³/cell
N(E_F) = 3.25 states/eV/cell

(2)
The following is a DFT calculation (PBE) of Fe2SiSe after structural relaxation.

Geometry as CIF:
```
data_Fe2SiSe
_cell_length_a 6.014
_cell_length_b 6.014
_cell_length_c 6.014
_cell_angle_alpha 90.00
_cell_angle_beta 90.00
_cell_angle_gamma 90.00
_symmetry_space_group_name_H-M 'F -4 3 m'
_symmetry_Int_Tables_number 216
_symmetry_space_group_name_Hall 'F -4 2 3'
loop_
_atom_site_label
_atom_site_fract_x
_atom_site_fract_y
_atom_site_fract_z
Fe1 0.000 0.000 0.000
Fe2 0.250 0.250 0.250
Si1 0.000 0.000 0.500
Se1 0.250 0.250 0.750
```

Summary:
ρ = 6.68 Mg/m³
Volume = 218 Å³/cell
N(E_F) = 8.12 states/eV/cell

no.,raw total energy (eV/atom)
1,-5.215
2,-6.024